one | # LaSm6Sc2

LaSm6Sc2 after structural relaxation (PBE-GGA, the Alexandria database).

## Properties
**Crystal system**: tetragonal

Cell: 9.1532 9.1532 9.1532 Å, 140.38 140.38 57.28°
With the nearest neighbours (Å) after each atom.
Atoms (fractional coordinates):
La1 0.0000 0.0000 0.0000  4 Sm 3.17, 2 Sc 3.30
Sm1 0.2325 0.5882 0.0000  3 Sm 3.12-3.44, 1 La 3.17, 1 Sc 3.39
Sm2 0.2500 0.7500 0.5000  4 Sc 3.18, 4 Sm 3.44
Sm3 0.4118 0.4118 0.6444  3 Sm 3.12-3.44, 1 La 3.17, 1 Sc 3.39
Sm4 0.5882 0.2325 0.0000  3 Sm 3.12-3.44, 1 La 3.17, 1 Sc 3.39
Sm5 0.7500 0.2500 0.5000  4 Sc 3.18, 4 Sm 3.44
Sm6 0.7675 0.7675 0.3556  3 Sm 3.12-3.44, 1 La 3.17, 1 Sc 3.39
Sc1 0.2056 0.2056 0.0000  6 Sm 3.18-3.39, 1 La 3.30
Sc2 0.7944 0.7944 0.0000  6 Sm 3.18-3.39, 1 La 3.30


two | # LaSm6Sc2

LaSm6Sc2 after structural relaxation (PBE-GGA, the Alexandria database).

## Properties
**Crystal system**: monoclinic

Cell: 9.6110 9.6110 6.5693 Å, 98.88 98.88 99.99°
With the nearest neighbours (Å) after each atom.
Atoms (fractional coordinates):
La1 0.0951 0.9049 0.7500  10 Sm 3.44-3.81
La2 0.9049 0.0951 0.2500  10 Sm 3.44-3.81
Sm1 0.0514 0.2581 0.8144  2 Sc 3.37-3.46, 5 Sm 3.45-3.75, 2 La 3.46-3.74
Sm2 0.0886 0.4445 0.3184  6 Sm 3.29-3.53, 2 Sc 3.32-3.37, 1 La 3.44
Sm3 0.2581 0.0514 0.3144  2 Sc 3.37-3.46, 5 Sm 3.45-3.75, 2 La 3.46-3.74
Sm4 0.2641 0.6334 0.9785  3 Sc 3.32-3.62, 5 Sm 3.45-3.53, 1 La 3.69
Sm5 0.3666 0.7359 0.5215  3 Sc 3.32-3.62, 5 Sm 3.45-3.53, 1 La 3.69
Sm6 0.4445 0.0886 0.8184  6 Sm 3.29-3.53, 2 Sc 3.32-3.37, 1 La 3.44
Sm7 0.5555 0.9114 0.1816  6 Sm 3.29-3.53, 2 Sc 3.32-3.37, 1 La 3.44
Sm8 0.6334 0.2641 0.4785  3 Sc 3.32-3.62, 5 Sm 3.45-3.53, 1 La 3.69
Sm9 0.7359 0.3666 0.0215  3 Sc 3.32-3.62, 5 Sm 3.45-3.53, 1 La 3.69
Sm10 0.7419 0.9486 0.6856  2 Sc 3.37-3.46, 5 Sm 3.45-3.75, 2 La 3.46-3.74
Sm11 0.9114 0.5555 0.6816  6 Sm 3.29-3.53, 2 Sc 3.32-3.37, 1 La 3.44
Sm12 0.9486 0.7419 0.1856  2 Sc 3.37-3.46, 5 Sm 3.45-3.75, 2 La 3.46-3.74
Sc1 0.3570 0.3814 0.6504  3 Sc 3.18-3.30, 6 Sm 3.32-3.46
Sc2 0.3814 0.3570 0.1504  3 Sc 3.18-3.30, 6 Sm 3.32-3.46
Sc3 0.6186 0.6430 0.8496  3 Sc 3.18-3.30, 6 Sm 3.32-3.46
Sc4 0.6430 0.6186 0.3496  3 Sc 3.18-3.30, 6 Sm 3.32-3.46


Stability, descending: two, one


one | # LaSm6Sc

LaSm6Sc after structural relaxation (PBE-GGA, the Alexandria database).

## Properties
**Crystal system**: tetragonal

Cell: 5.0927 5.0927 10.1624 Å, 90.00 90.00 90.00°
With the nearest neighbours (Å) after each atom.
Atoms (fractional coordinates):
La1 0.0000 0.0000 0.0000  12 Sm 3.60-3.66
Sm1 0.0000 0.5000 0.2590  2 Sc 3.53, 8 Sm 3.53-3.66, 2 La 3.66
Sm2 0.0000 0.5000 0.7410  2 Sc 3.53, 8 Sm 3.53-3.66, 2 La 3.66
Sm3 0.5000 0.0000 0.2590  2 Sc 3.53, 8 Sm 3.53-3.66, 2 La 3.66
Sm4 0.5000 0.0000 0.7410  2 Sc 3.53, 8 Sm 3.53-3.66, 2 La 3.66
Sm5 0.5000 0.5000 0.0000  4 La 3.60, 8 Sm 3.66
Sm6 0.5000 0.5000 0.5000  8 Sm 3.53, 4 Sc 3.60
Sc1 0.0000 0.0000 0.5000  12 Sm 3.53-3.60


two | # LaSm6Sc

LaSm6Sc after structural relaxation (PBE-GGA, the Alexandria database).

## Properties
**Crystal system**: monoclinic

Cell: 5.8033 5.8033 9.2400 Å, 102.25 102.25 75.22°
With the nearest neighbours (Å) after each atom.
Atoms (fractional coordinates):
La1 0.0000 0.0000 0.0000  10 Sm 3.45-3.79
Sm1 0.0457 0.5586 0.2109  1 Sc 3.34, 5 Sm 3.36-3.68, 2 La 3.45-3.46
Sm2 0.1327 0.1327 0.4252  3 Sm 3.11-3.36, 1 Sc 3.26
Sm3 0.4414 0.9543 0.7891  1 Sc 3.34, 5 Sm 3.36-3.68, 2 La 3.45-3.46
Sm4 0.5586 0.0457 0.2109  1 Sc 3.34, 5 Sm 3.36-3.68, 2 La 3.45-3.46
Sm5 0.8673 0.8673 0.5748  3 Sm 3.11-3.36, 1 Sc 3.26
Sm6 0.9543 0.4414 0.7891  1 Sc 3.34, 5 Sm 3.36-3.68, 2 La 3.45-3.46
Sc1 0.5000 0.5000 0.5000  6 Sm 3.26-3.34


Stability, descending: one, two


one | # La2Sm5Sc

La2Sm5Sc after structural relaxation (PBE-GGA, the Alexandria database).

## Properties
**Crystal system**: tetragonal

Cell: 10.8309 10.8309 10.8309 Å, 152.70 152.70 38.99°
With the nearest neighbours (Å) after each atom.
Atoms (fractional coordinates):
La1 0.2497 0.2497 0.0000  4 La 3.61, 8 Sm 3.69-3.70
La2 0.7503 0.7503 0.0000  4 La 3.61, 8 Sm 3.69-3.70
Sm1 0.0000 0.0000 0.0000  8 Sm 3.53, 4 Sc 3.61
Sm2 0.1195 0.6195 0.5000  2 Sc 3.53, 6 Sm 3.53-3.61, 4 La 3.69-3.70
Sm3 0.3805 0.8805 0.5000  2 Sc 3.53, 6 Sm 3.53-3.61, 4 La 3.69-3.70
Sm4 0.6195 0.1195 0.5000  2 Sc 3.53, 6 Sm 3.53-3.61, 4 La 3.69-3.70
Sm5 0.8805 0.3805 0.5000  2 Sc 3.53, 6 Sm 3.53-3.61, 4 La 3.69-3.70
Sc1 0.5000 0.5000 0.0000  12 Sm 3.53-3.61


two | # La2Sm5Sc

La2Sm5Sc after structural relaxation (PBE-GGA, the Alexandria database).

## Properties
**Crystal system**: orthorhombic

Cell: 6.6277 6.6277 15.9655 Å, 90.00 90.00 129.13°
With the nearest neighbours (Å) after each atom.
Atoms (fractional coordinates):
La1 0.2181 0.7819 0.6340  5 Sm 3.36-3.62, 2 Sc 3.41, 1 La 3.70
La2 0.2181 0.7819 0.8660  5 Sm 3.36-3.62, 2 Sc 3.41, 1 La 3.70
La3 0.7819 0.2181 0.1340  5 Sm 3.36-3.62, 2 Sc 3.41, 1 La 3.70
La4 0.7819 0.2181 0.3660  5 Sm 3.36-3.62, 2 Sc 3.41, 1 La 3.70
Sm1 0.0797 0.9203 0.0938  1 Sc 3.29, 2 Sm 3.55-3.69, 1 La 3.62
Sm2 0.0797 0.9203 0.4062  1 Sc 3.29, 2 Sm 3.55-3.69, 1 La 3.62
Sm3 0.3828 0.6172 0.0520  2 Sm 3.26-3.63, 3 La 3.36-3.57, 1 Sc 3.49
Sm4 0.3828 0.6172 0.4480  2 Sm 3.26-3.63, 3 La 3.36-3.57, 1 Sc 3.49
Sm5 0.4688 0.5312 0.7500  1 Sc 3.25, 2 La 3.53, 2 Sm 3.63
Sm6 0.5312 0.4688 0.2500  1 Sc 3.25, 2 La 3.53, 2 Sm 3.63
Sm7 0.6172 0.3828 0.5520  2 Sm 3.26-3.63, 3 La 3.36-3.57, 1 Sc 3.49
Sm8 0.6172 0.3828 0.9480  2 Sm 3.26-3.63, 3 La 3.36-3.57, 1 Sc 3.49
Sm9 0.9203 0.0797 0.5938  1 Sc 3.29, 2 Sm 3.55-3.69, 1 La 3.62
Sm10 0.9203 0.0797 0.9062  1 Sc 3.29, 2 Sm 3.55-3.69, 1 La 3.62
Sc1 0.2596 0.7404 0.2500  5 Sm 3.25-3.49, 4 La 3.41
Sc2 0.7404 0.2596 0.7500  5 Sm 3.25-3.49, 4 La 3.41


Stability, descending: one, two